Entry 1:
# Na2Bi4Pb3, relaxed, DFT PBE
# DFT formation energy (meV per atom): -92.1
# D(E_F) (states/eV/f.u.): 3.65
# Volume (Å³/cell): 574.2
data_Na2Bi4Pb3
_symmetry_space_group_name_H-M 'C 1 2/m 1'
_symmetry_Int_Tables_number 12
_cell_length_a 9.042
_cell_length_b 6.002
_cell_length_c 10.804
_cell_angle_alpha 90.00
_cell_angle_beta 101.70
_cell_angle_gamma 90.00
loop_
_symmetry_equiv_pos_as_xyz
'x,y,z'
'-x,-y,-z'
'-x,y,-z'
'x,-y,z'
'x+1/2,y+1/2,z'
'-x+1/2,-y+1/2,-z'
'-x+1/2,y+1/2,-z'
'x+1/2,-y+1/2,z'
loop_
_atom_site_label
_atom_site_fract_x
_atom_site_fract_y
_atom_site_fract_z
Na1 0.175 0.000 0.284
Bi1 0.001 0.500 0.847
Bi2 0.162 0.000 0.608
Pb1 0.000 0.500 0.500
Pb2 0.164 0.000 0.913

Entry 2:
# Na4BiPb, relaxed, DFT PBE
# DFT formation energy (meV per atom): -197.9
# D(E_F) (states/eV/f.u.): 2.78
# Volume (Å³/cell): 791.9
# ΔE to the lowest computed polymorph (eV/atom): 0.026
data_Na4BiPb
_symmetry_space_group_name_H-M 'C 1 2/m 1'
_symmetry_Int_Tables_number 12
_cell_length_a 16.735
_cell_length_b 8.780
_cell_length_c 5.666
_cell_angle_alpha 90.00
_cell_angle_beta 107.98
_cell_angle_gamma 90.00
loop_
_symmetry_equiv_pos_as_xyz
'x,y,z'
'-x,-y,-z'
'-x,y,-z'
'x,-y,z'
'x+1/2,y+1/2,z'
'-x+1/2,-y+1/2,-z'
'-x+1/2,y+1/2,-z'
'x+1/2,-y+1/2,z'
loop_
_atom_site_label
_atom_site_fract_x
_atom_site_fract_y
_atom_site_fract_z
Na1 0.000 0.171 0.000
Na2 0.157 0.233 0.666
Na3 0.188 0.500 0.231
Bi1 0.185 0.000 0.183
Pb1 0.023 0.500 0.765

Entry 3:
# NaBi3Pb, relaxed, DFT PBE
# DFT formation energy (meV per atom): -69.7
# D(E_F) (states/eV/f.u.): 1.97
# Volume (Å³/cell): 319.4
# ΔE to the lowest computed polymorph (eV/atom): 0.000
data_NaBi3Pb
_symmetry_space_group_name_H-M 'P 1 21/m 1'
_symmetry_Int_Tables_number 11
_cell_length_a 7.790
_cell_length_b 4.962
_cell_length_c 8.264
_cell_angle_alpha 90.00
_cell_angle_beta 90.53
_cell_angle_gamma 90.00
loop_
_symmetry_equiv_pos_as_xyz
'x,y,z'
'-x,-y,-z'
'-x,y+1/2,-z'
'x,-y+1/2,z'
loop_
_atom_site_label
_atom_site_fract_x
_atom_site_fract_y
_atom_site_fract_z
Na1 0.153 0.250 0.056
Bi1 0.006 0.250 0.665
Bi2 0.255 0.750 0.785
Bi3 0.400 0.750 0.174
Pb1 0.363 0.250 0.444

Entry 4:
# NaBi2Pb6, relaxed, DFT PBE
# DFT formation energy (meV per atom): -37.6
# D(E_F) (states/eV/f.u.): 4.45
# Volume (Å³/cell): 562.7
# ΔE to the lowest computed polymorph (eV/atom): 0.000
data_NaBi2Pb6
_symmetry_space_group_name_H-M 'C 1 2/m 1'
_symmetry_Int_Tables_number 12
_cell_length_a 14.736
_cell_length_b 5.018
_cell_length_c 7.976
_cell_angle_alpha 90.00
_cell_angle_beta 107.45
_cell_angle_gamma 90.00
loop_
_symmetry_equiv_pos_as_xyz
'x,y,z'
'-x,-y,-z'
'-x,y,-z'
'x,-y,z'
'x+1/2,y+1/2,z'
'-x+1/2,-y+1/2,-z'
'-x+1/2,y+1/2,-z'
'x+1/2,-y+1/2,z'
loop_
_atom_site_label
_atom_site_fract_x
_atom_site_fract_y
_atom_site_fract_z
Na1 0.000 0.000 0.000
Bi1 0.055 0.500 0.324
Pb1 0.110 0.000 0.664
Pb2 0.167 0.500 0.993
Pb3 0.219 0.000 0.340

Entry 5:
# NaBi3Pb4, relaxed, DFT PBE
# DFT formation energy (meV per atom): -35.4
# D(E_F) (states/eV/f.u.): 3.21
# Volume (Å³/cell): 261.2
data_NaBi3Pb4
_symmetry_space_group_name_H-M 'P -1'
_symmetry_Int_Tables_number 2
_cell_length_a 3.525
_cell_length_b 5.696
_cell_length_c 13.366
_cell_angle_alpha 101.80
_cell_angle_beta 95.86
_cell_angle_gamma 90.29
loop_
_symmetry_equiv_pos_as_xyz
'x,y,z'
'-x,-y,-z'
loop_
_atom_site_label
_atom_site_fract_x
_atom_site_fract_y
_atom_site_fract_z
Na1 0.000 0.000 0.000
Bi1 0.464 0.850 0.701
Bi2 0.500 0.500 0.000
Pb1 0.093 0.612 0.219
Pb2 0.293 0.269 0.541

Entry 6:
# NaBi4Pb, relaxed, DFT PBE
# DFT formation energy (meV per atom): 67.1
# D(E_F) (states/eV/f.u.): 5.64
# Volume (Å³/cell): 825.7
# ΔE to the lowest computed polymorph (eV/atom): 0.139
data_NaBi4Pb
_symmetry_space_group_name_H-M 'F -4 3 m'
_symmetry_Int_Tables_number 216
_symmetry_space_group_name_Hall 'F -4 2 3'
_cell_length_a 9.381
_cell_length_b 9.381
_cell_length_c 9.381
_cell_angle_alpha 90.00
_cell_angle_beta 90.00
_cell_angle_gamma 90.00
loop_
_atom_site_label
_atom_site_fract_x
_atom_site_fract_y
_atom_site_fract_z
Na1 0.000 0.000 0.000
Bi1 0.125 0.125 0.375
Pb1 0.250 0.250 0.750